No. 1
The following is a DFT calculation (GGA-PBE) of crystalline AcPr4Er10 at its relaxed geometry. Values from VASP.

Values from the calculation:
Energy ... -61.2 eV for the cell shown

```
&SYSTEM
  ibrav = 0, nat = 15, ntyp = 3
/
ATOMIC_SPECIES
Er 167.26 Er.upf
Pr 140.91 Pr.upf
Ac 227.00 Ac.upf
ATOMIC_POSITIONS crystal
Er 0.707 0.342 0.892
Er 0.250 0.500 0.500
Er 0.951 0.108 0.342
Er 0.599 0.108 0.342
Er 0.750 0.500 0.500
Er 0.059 0.342 0.892
Er 0.293 0.658 0.108
Er 0.049 0.892 0.658
Er 0.941 0.658 0.108
Er 0.401 0.892 0.658
Pr 0.429 0.389 0.754
Pr 0.183 0.246 0.389
Pr 0.571 0.611 0.246
Pr 0.817 0.754 0.611
Ac 0.000 0.000 0.000
CELL_PARAMETERS angstrom
-1.513 11.463 1.621
-7.535 4.745 1.457
0.015 4.875 7.593
```

***

No. 2
The following is a DFT calculation (GGA-PBE) of crystalline Ac7Pr4Er at its relaxed geometry. Values from VASP.

Values from the calculation:
Energy ... -52.0 eV for the cell shown

```
&SYSTEM
  ibrav = 0, nat = 12, ntyp = 3
/
ATOMIC_SPECIES
Pr 140.91 Pr.upf
Ac 227.00 Ac.upf
Er 167.26 Er.upf
ATOMIC_POSITIONS crystal
Pr 0.250 0.168 0.335
Pr 0.502 0.666 0.332
Pr 0.750 0.832 0.665
Pr 0.498 0.334 0.668
Ac 0.253 0.836 0.665
Ac 0.001 0.330 0.667
Ac 0.751 0.504 0.002
Ac 0.249 0.496 0.998
Ac 0.500 0.000 0.000
Ac 0.999 0.670 0.333
Ac 0.747 0.164 0.335
Er 0.000 0.000 0.000
CELL_PARAMETERS angstrom
7.169 -1.788 2.199
0.626 6.068 2.761
2.252 -1.699 11.183
```

***

No. 3
The following is a DFT calculation (GGA-PBE) of crystalline AcPr6Er8 at its relaxed geometry. Values from VASP.

Values from the calculation:
Energy ... -65.8 eV for the cell shown

```
&SYSTEM
  ibrav = 0, nat = 15, ntyp = 3
/
ATOMIC_SPECIES
Ac 227.00 Ac.upf
Er 167.26 Er.upf
Pr 140.91 Pr.upf
ATOMIC_POSITIONS crystal
Ac 0.000 0.000 0.000
Er 0.772 0.772 0.684
Er 0.583 0.901 0.358
Er 0.417 0.099 0.642
Er 0.901 0.159 0.358
Er 0.841 0.417 0.642
Er 0.228 0.228 0.316
Er 0.099 0.841 0.642
Er 0.159 0.583 0.358
Pr 0.601 0.355 0.158
Pr 0.355 0.886 0.158
Pr 0.114 0.399 0.842
Pr 0.399 0.645 0.842
Pr 0.886 0.601 0.158
Pr 0.645 0.114 0.842
CELL_PARAMETERS angstrom
-0.388 -7.617 5.897
3.946 -8.378 -2.682
6.936 -3.501 3.814
```

***

No. 4
The following is a DFT calculation (GGA-PBE) of crystalline AcPr3Er8 at its relaxed geometry. Values from VASP.

Values from the calculation:
Energy ... -51.5 eV for the cell shown

```
&SYSTEM
  ibrav = 0, nat = 12, ntyp = 3
/
ATOMIC_SPECIES
Pr 140.91 Pr.upf
Er 167.26 Er.upf
Ac 227.00 Ac.upf
ATOMIC_POSITIONS crystal
Pr 0.000 0.500 0.500
Pr 0.500 0.745 0.245
Pr 0.500 0.255 0.755
Er 0.179 0.928 0.749
Er 0.990 0.743 0.248
Er 0.821 0.571 0.749
Er 0.495 0.742 0.752
Er 0.178 0.429 0.251
Er 0.505 0.257 0.248
Er 0.010 0.258 0.752
Er 0.822 0.072 0.251
Ac 0.000 0.000 0.000
CELL_PARAMETERS angstrom
7.153 0.644 -5.090
-2.908 8.197 -1.363
-1.844 -0.644 8.584
```

***

So what do the calculations give for formation enthalpy at 0 K? Going down the list: 7.62, 0.47, 3.50, 3.50 eV/f.u..